(1)
Computed, not measured: crystalline ScCo2ReBi at its relaxed geometry at the PBE level of DFT.

Its electronic total energy is -27.79 eV/cell. The formation energy from the elements is 1.82 eV/atom. The value obtained for the density of states at the Fermi level is 11.11 states/eV/f.u.

The space group is P4/mmm (No. 123) and the conventional cell measures 4.3423, 4.3423 and 5.3217 Å, with angles of 90.00, 90.00 and 90.00 degrees. Symmetry generates all atoms from Sc at (0.0000, 0.0000, 0.0000), Co at (0.0000, 0.5000, 0.0000), Re at (0.5000, 0.5000, 0.5000) and Bi at (0.0000, 0.0000, 0.5000).



(2)
Computed, not measured: crystalline CeZrCo2 at its relaxed geometry at the PBE level of DFT.

Its electronic total energy is -116.30 eV/cell. The formation energy from the elements is -0.10 eV/atom. The value obtained for the density of states at the Fermi level is 6.86 states/eV/f.u.

The space group is Fm-3m (No. 225) and the conventional cell measures 6.5340, 6.5340 and 6.5340 Å, with angles of 90.00, 90.00 and 90.00 degrees. Symmetry generates all atoms from Ce at (0.0000, 0.0000, 0.0000), Zr at (0.0000, 0.0000, 0.5000) and Co at (0.2500, 0.2500, 0.2500).